(1)
The following is a PBE calculation of an optimized crystal structure of Al2NiTe, from Alexandria via LeMat-Bulk.

Values from the calculation:
* energy relative to the elements, uncorrected: 97 meV per atom

a = 2.978 Å, b = 4.410 Å, c = 11.396 Å
α = 90.00°, β = 90.00°, γ = 90.00°
Space group Immm (No. 71)
Inequivalent atoms, fractional coordinates:
Al  0.000  0.000  0.193 (multiplicity 4)
Ni  0.000  0.500  0.500 (multiplicity 2)
Te  0.000  0.500  0.000 (multiplicity 2)

***

(2)
The following is a PBE calculation of an optimized crystal structure of AlNiTe, from Alexandria via LeMat-Bulk.

Values from the calculation:
* energy relative to the elements, uncorrected: -281 meV per atom
* relative energy among the computed polymorphs: 18.0 kJ per mole of atoms

a = 3.9890 Å, b = 3.9890 Å, c = 27.6923 Å
α = 90.00°, β = 90.00°, γ = 120.00°
Space group R3m (No. 160, hexagonal axes)
Inequivalent atoms, fractional coordinates:
Al  0.0000  0.0000  0.0000 (multiplicity 3)
Al  0.0000  0.0000  0.3963 (multiplicity 3)
Ni  0.0000  0.0000  0.0829 (multiplicity 3)
Ni  0.0000  0.0000  0.7860 (multiplicity 3)
Te  0.0000  0.0000  0.2811 (multiplicity 3)
Te  0.0000  0.0000  0.4956 (multiplicity 3)

***

(3)
The following is a PBE calculation of an optimized crystal structure of AlNiTe, from Alexandria via LeMat-Bulk.

Values from the calculation:
* energy relative to the elements, uncorrected: -413 meV per atom
* relative energy among the computed polymorphs: 5.2 kJ per mole of atoms

a = 3.278 Å, b = 18.956 Å, c = 3.999 Å
α = 90.00°, β = 90.00°, γ = 90.00°
Space group Cmcm (No. 63)
Inequivalent atoms, fractional coordinates:
Al  0.000  0.053  0.250 (multiplicity 4)
Ni  0.000  0.455  0.250 (multiplicity 4)
Te  0.000  0.155  0.750 (multiplicity 4)

***

(4)
The following is a PBE calculation of an optimized crystal structure of AlNiTe, from Alexandria via LeMat-Bulk.

Values from the calculation:
* energy relative to the elements, uncorrected: 84 meV per atom
* relative energy among the computed polymorphs: 53.2 kJ per mole of atoms

a = 3.080 Å, b = 3.080 Å, c = 11.815 Å
α = 90.00°, β = 90.00°, γ = 90.00°
Space group I4mm (No. 107)
Inequivalent atoms, fractional coordinates:
Al  0.000  0.000  0.000 (multiplicity 2)
Ni  0.000  0.000  0.602 (multiplicity 2)
Te  0.000  0.000  0.262 (multiplicity 2)

***

(5)
The following is a PBE calculation of an optimized crystal structure of Zr2AlNiTe, from Alexandria via LeMat-Bulk.

Values from the calculation:
* energy relative to the elements, uncorrected: 259 meV per atom

a = 4.963 Å, b = 4.963 Å, c = 4.600 Å
α = 90.00°, β = 90.00°, γ = 90.00°
Space group P4/mmm (No. 123)
Inequivalent atoms, fractional coordinates:
Zr  0.000  0.500  0.000 (multiplicity 2)
Al  0.000  0.000  0.500 (multiplicity 1)
Ni  0.500  0.500  0.000 (multiplicity 1)
Te  0.500  0.500  0.500 (multiplicity 1)

***

(6)
The following is a PBE calculation of an optimized crystal structure of ThAl12Ni6, from Alexandria via LeMat-Bulk.

Values from the calculation:
* ΔE_f: -0.4511 eV/atom

a = 10.9216 Å, b = 10.9216 Å, c = 8.4210 Å
α = 90.00°, β = 90.00°, γ = 120.00°
Space group R-3m (No. 166, hexagonal axes)
Inequivalent atoms, fractional coordinates:
Th  0.0000  0.0000  0.0000 (multiplicity 3)
Al  0.0000  0.3822  0.5000 (multiplicity 18)
Al  0.0861  0.1722  0.3310 (multiplicity 18)
Ni  0.0447  0.5224  0.2506 (multiplicity 18)

***

(7)
The following is a PBE calculation of an optimized crystal structure of Th2AlNi4, from Alexandria via LeMat-Bulk.

Values from the calculation:
* ΔE_f: -0.3198 eV/atom
* relative energy among the computed polymorphs: 0.0 kJ per mole of atoms

a = 4.973 Å, b = 13.006 Å, c = 4.110 Å
α = 90.00°, β = 90.00°, γ = 90.00°
Space group Cmmm (No. 65)
Inequivalent atoms, fractional coordinates:
Th  0.000  0.150  0.000 (multiplicity 4)
Al  0.000  0.500  0.500 (multiplicity 2)
Ni  0.000  0.302  0.500 (multiplicity 4)
Ni  0.000  0.406  0.000 (multiplicity 4)

***

(8)
The following is a PBE calculation of an optimized crystal structure of ThAlNi5, from Alexandria via LeMat-Bulk.

Values from the calculation:
* ΔE_f: -0.4682 eV/atom

a = 7.975 Å, b = 4.898 Å, c = 10.090 Å
α = 90.00°, β = 90.00°, γ = 90.00°
Space group Pnma (No. 62)
Inequivalent atoms, fractional coordinates:
Th  0.250  0.250  0.056 (multiplicity 4)
Al  0.145  0.250  0.356 (multiplicity 4)
Ni  0.054  0.250  0.592 (multiplicity 4)
Ni  0.065  0.506  0.804 (multiplicity 8)
Ni  0.099  0.750  0.016 (multiplicity 4)
Ni  0.185  0.750  0.253 (multiplicity 4)